Record 1
! YMgSc2Pt4 PBE-GGA optimized geometry; values from VASP
! formation energy: -1124 meV per atom
! space group: R-3m
! ρ: 10.978 g cm⁻³
! DOS at the Fermi energy: 5.41 states/eV per cell
! energy: -0.24751 hartree per atom
&SYSTEM
  ibrav = 0, nat = 8, ntyp = 4
/
ATOMIC_SPECIES
Y 88.91 Y.upf
Mg 24.30 Mg.upf
Sc 44.96 Sc.upf
Pt 195.08 Pt.upf
CELL_PARAMETERS angstrom
4.6282 0.0000 0.0000
2.3141 4.0081 0.0000
2.3141 1.3360 8.0195
ATOMIC_POSITIONS crystal
Y 0.0000 0.0000 0.0000
Mg 0.5000 0.5000 0.5000
Sc 0.7572 0.7572 0.7284
Sc 0.2428 0.2428 0.2716
Pt 0.3876 0.3876 0.8373
Pt 0.8748 0.8748 0.3757
Pt 0.1252 0.1252 0.6243
Pt 0.6124 0.6124 0.1627

Record 2
! SiTe2W PBE-GGA optimized geometry; values from VASP
! ΔE_f (raw): 247 meV per atom
! space group: R3m
! ρ: 8.362 g cm⁻³
! DOS at the Fermi energy: 0.60 states/eV per cell
! energy: -0.21747 hartree per atom
&SYSTEM
  ibrav = 0, nat = 4, ntyp = 3
/
ATOMIC_SPECIES
Si 28.09 Si.upf
Te 127.60 Te.upf
W 183.84 W.upf
CELL_PARAMETERS angstrom
9.6728 -0.0296 -0.0174
9.0986 3.2830 -0.0174
9.0986 1.5769 2.8795
ATOMIC_POSITIONS crystal
Si 0.2389 0.2389 0.2389
Te 0.9758 0.9758 0.9758
Te 0.7761 0.7761 0.7761
W 0.5092 0.5092 0.5092

Record 3
! Cd2HgAs PBE-GGA optimized geometry; values from VASP
! formation energy: 172 meV per atom
! space group: P4mm
! ρ: 9.041 g cm⁻³
! energy above the lowest structure with this stoichiometry: 157.8 meV/atom
! DOS at the Fermi energy: 1.66 states/eV per cell
! energy: -0.05598 hartree per atom
&SYSTEM
  ibrav = 0, nat = 4, ntyp = 3
/
ATOMIC_SPECIES
As 74.92 As.upf
Hg 200.59 Hg.upf
Cd 112.41 Cd.upf
CELL_PARAMETERS angstrom
3.1214 0.0000 0.0000
0.0000 3.1214 0.0000
0.0000 0.0000 9.4320
ATOMIC_POSITIONS crystal
As 0.5000 0.5000 0.7753
Hg 0.0000 0.0000 0.4972
Cd 0.0000 0.0000 0.9905
Cd 0.5000 0.5000 0.2370

Record 4
! SmSiPd3 PBE-GGA optimized geometry; values from VASP
! ΔE_f (raw): -763 meV per atom
! space group: Pmmn
! ρ: 9.146 g cm⁻³
! energy above the lowest structure with this stoichiometry: 0.0 meV/atom
! DOS at the Fermi energy: 5.28 states/eV per cell
! energy: -0.21707 hartree per atom
&SYSTEM
  ibrav = 0, nat = 10, ntyp = 3
/
ATOMIC_SPECIES
Sm 150.36 Sm.upf
Si 28.09 Si.upf
Pd 106.42 Pd.upf
CELL_PARAMETERS angstrom
4.6303 -0.0009 0.0000
-0.0007 6.1023 -0.0005
0.0001 0.0009 6.3961
ATOMIC_POSITIONS crystal
Sm 0.4756 0.3806 0.7008
Sm 0.9757 0.9722 0.2007
Si 0.9757 0.7342 0.7007
Si 0.4755 0.6186 0.2007
Pd 0.4758 0.2433 0.2010
Pd 0.4756 0.8627 0.9100
Pd 0.9757 0.4901 0.4101
Pd 0.9755 0.1095 0.7009
Pd 0.9757 0.4900 0.9914
Pd 0.4755 0.8627 0.4914

Record 5
! PaTiZn PBE-GGA optimized geometry; values from VASP
! formation energy: 42 meV per atom
! space group: C2/m
! ρ: 9.736 g cm⁻³
! energy above the lowest structure with this stoichiometry: 0.0 meV/atom
! DOS at the Fermi energy: 9.88 states/eV per cell
! energy: -0.22710 hartree per atom
&SYSTEM
  ibrav = 0, nat = 6, ntyp = 3
/
ATOMIC_SPECIES
Ti 47.87 Ti.upf
Zn 65.41 Zn.upf
Pa 231.04 Pa.upf
CELL_PARAMETERS angstrom
3.0458 0.0000 0.0000
0.0000 5.2005 0.3414
-1.5229 -1.2953 7.3297
ATOMIC_POSITIONS crystal
Ti 0.2500 0.7642 0.4999
Ti 0.7500 0.2358 0.5001
Zn 0.8936 0.6420 0.7871
Zn 0.1064 0.3580 0.2129
Pa 0.4277 0.1604 0.8553
Pa 0.5723 0.8396 0.1447

Record 6
! AgP2AuO PBE-GGA optimized geometry; values from VASP
! ΔE_f (raw): 896 meV per atom
! space group: P4/mmm
! ρ: 6.630 g cm⁻³
! energy above the lowest structure with this stoichiometry: 0.0 meV/atom
! DOS at the Fermi energy: 4.45 states/eV per cell
! energy: -0.12808 hartree per atom
&SYSTEM
  ibrav = 0, nat = 5, ntyp = 4
/
ATOMIC_SPECIES
P 30.97 P.upf
Au 196.97 Au.upf
O 16.00 O.upf
Ag 107.87 Ag.upf
CELL_PARAMETERS angstrom
4.9394 0.0000 0.0000
0.0000 4.9394 0.0000
0.0000 0.0000 3.9294
ATOMIC_POSITIONS crystal
P 0.0000 0.5000 0.0000
P 0.5000 0.0000 0.0000
Au 0.0000 0.0000 0.0000
O 0.0000 0.0000 0.5000
Ag 0.5000 0.5000 0.5000

Record 7
! FePd5Pt4 PBE-GGA optimized geometry; values from VASP
! formation energy: 88 meV per atom
! space group: C2/m
! ρ: 13.802 g cm⁻³
! energy above the lowest structure with this stoichiometry: 0.0 meV/atom
! DOS at the Fermi energy: 14.45 states/eV per cell
! energy: -0.21210 hartree per atom
&SYSTEM
  ibrav = 0, nat = 10, ntyp = 3
/
ATOMIC_SPECIES
Fe 55.84 Fe.upf
Pd 106.42 Pd.upf
Pt 195.08 Pt.upf
CELL_PARAMETERS angstrom
0.4862 -0.1289 -3.9346
4.8173 -4.8779 0.7552
-6.8658 -1.7750 1.2092
ATOMIC_POSITIONS crystal
Fe 0.5000 0.0000 0.0000
Pd 0.8380 0.2949 0.6760
Pd 0.8209 0.8831 0.6418
Pd 0.1791 0.1169 0.3582
Pd 0.5000 0.5000 0.0000
Pd 0.1620 0.7051 0.3240
Pt 0.3249 0.5882 0.6498
Pt 0.9803 0.7503 0.9607
Pt 0.6751 0.4118 0.3502
Pt 0.0197 0.2497 0.0393

Record 8
! Sc2AgW PBE-GGA optimized geometry; values from VASP
! formation energy: 132 meV per atom
! space group: P4/mmm
! ρ: 8.270 g cm⁻³
! energy above the lowest structure with this stoichiometry: 80.3 meV/atom
! DOS at the Fermi energy: 3.58 states/eV per cell
! energy: -0.25669 hartree per atom
&SYSTEM
  ibrav = 0, nat = 4, ntyp = 3
/
ATOMIC_SPECIES
Ag 107.87 Ag.upf
Sc 44.96 Sc.upf
W 183.84 W.upf
CELL_PARAMETERS angstrom
5.0043 0.0000 0.0000
0.0000 3.0602 -0.0024
0.0000 0.0045 5.0033
ATOMIC_POSITIONS crystal
Ag 0.5000 0.6250 0.8750
Sc 0.0000 0.1247 0.8750
Sc 0.5000 0.1253 0.3750
W 0.0000 0.6250 0.3750

Record 9
! Pr4Pb3S8 PBE-GGA optimized geometry; values from VASP
! ΔE_f (raw): -1372 meV per atom
! space group: C2/m
! ρ: 5.846 g cm⁻³
! DOS at the Fermi energy: 5.81 states/eV per cell
! energy: -0.20542 hartree per atom
&SYSTEM
  ibrav = 0, nat = 15, ntyp = 3
/
ATOMIC_SPECIES
Pr 140.91 Pr.upf
Pb 207.20 Pb.upf
S 32.06 S.upf
CELL_PARAMETERS angstrom
-4.2432 -4.4765 5.5840
8.0058 -1.7383 -1.4927
2.0377 7.8942 1.6943
ATOMIC_POSITIONS crystal
Pr 0.5000 0.0000 0.0000
Pr 0.0000 0.5000 0.0000
Pr 0.0000 0.0000 0.0000
Pr 0.0000 0.0000 0.5000
Pb 0.5000 0.5000 0.0000
Pb 0.5000 0.0000 0.5000
Pb 0.5000 0.5000 0.5000
S 0.4854 0.2371 0.2371
S 0.0000 0.7542 0.2458
S 0.9944 0.2423 0.2423
S 0.5000 0.7531 0.2469
S 0.5000 0.2469 0.7531
S 0.0056 0.7577 0.7577
S 0.0000 0.2458 0.7542
S 0.5146 0.7629 0.7629

Record 10
! Dy3TmNi8 PBE-GGA optimized geometry; values from VASP
! formation energy: -461 meV per atom
! space group: R3m
! ρ: 10.243 g cm⁻³
! DOS at the Fermi energy: 6.44 states/eV per cell
! energy: -0.21456 hartree per atom
&SYSTEM
  ibrav = 0, nat = 12, ntyp = 3
/
ATOMIC_SPECIES
Dy 162.50 Dy.upf
Tm 168.93 Tm.upf
Ni 58.69 Ni.upf
CELL_PARAMETERS angstrom
5.0491 0.0000 0.0000
2.5245 4.3726 0.0000
2.5245 1.4575 8.2681
ATOMIC_POSITIONS crystal
Dy 0.3751 0.3751 0.8746
Dy 0.9996 0.9996 0.0012
Dy 0.5002 0.5002 0.4994
Tm 0.8750 0.8750 0.3751
Ni 0.9370 0.4371 0.1888
Ni 0.4389 0.9374 0.6864
Ni 0.4371 0.4371 0.1888
Ni 0.9374 0.9374 0.6864
Ni 0.1876 0.1876 0.4371
Ni 0.6875 0.6875 0.9374
Ni 0.4371 0.9370 0.1888
Ni 0.9374 0.4389 0.6864

Record 11
! Pr3Tl2Cd3 PBE-GGA optimized geometry; values from VASP
! formation energy: -285 meV per atom
! space group: P-62m
! ρ: 8.291 g cm⁻³
! energy above the lowest structure with this stoichiometry: 0.0 meV/atom
! DOS at the Fermi energy: 6.77 states/eV per cell
! energy: -0.11069 hartree per atom
&SYSTEM
  ibrav = 0, nat = 8, ntyp = 3
/
ATOMIC_SPECIES
Pr 140.91 Pr.upf
Tl 204.38 Tl.upf
Cd 112.41 Cd.upf
CELL_PARAMETERS angstrom
-2.3488 2.5433 2.9454
-4.9798 1.8675 -5.5838
-1.2638 -6.2271 4.3692
ATOMIC_POSITIONS crystal
Pr 0.5000 0.3915 0.3915
Pr 0.5000 0.6085 0.0000
Pr 0.5000 0.0000 0.6085
Tl 0.0000 0.3333 0.6667
Tl 0.0000 0.6667 0.3333
Cd 0.0000 0.7739 0.7739
Cd 0.0000 0.2261 0.0000
Cd 0.0000 0.0000 0.2261

Record 12
! Nd3TmPu2S6 PBE-GGA optimized geometry; values from VASP
! ΔE_f (raw): -1941 meV per atom
! space group: C2/m
! ρ: 7.876 g cm⁻³
! DOS at the Fermi energy: 17.00 states/eV per cell
! energy: -0.29243 hartree per atom
&SYSTEM
  ibrav = 0, nat = 12, ntyp = 4
/
ATOMIC_SPECIES
Nd 144.24 Nd.upf
Tm 168.93 Tm.upf
Pu 244.00 Pu.upf
S 32.06 S.upf
CELL_PARAMETERS angstrom
6.8948 -0.0015 0.0011
-3.4470 5.9713 0.0011
-1.1491 -1.9897 6.5655
ATOMIC_POSITIONS crystal
Nd 0.1683 0.8317 0.5000
Nd 0.8317 0.1683 0.5000
Nd 0.5000 0.5000 0.5000
Tm 0.0000 0.0000 0.0000
Pu 0.3336 0.6664 0.0000
Pu 0.6664 0.3336 0.0000
S 0.9216 0.5928 0.7645
S 0.7508 0.7508 0.2382
S 0.0784 0.4072 0.2355
S 0.5928 0.9216 0.7645
S 0.2492 0.2492 0.7618
S 0.4072 0.0784 0.2355

Question: Which of these has the lowest energy?
Answer: Nd3TmPu2S6

Question: Among the records above, which one has the lowest DOS at the Fermi energy?
Answer: SiTe2W

Question: What is the energy in the fourth record?
Answer: -0.21707 hartree per atom